Li2CaIrRh, optimized geometry, DFT PBE-GGA; symmetry = P4/mmm, No. 123; energy of formation from the pure elements = 0.667 eV per atom; energy = -3.7410 eV/atom; DOS(E_F) = 6.520 states/eV/cell; polymorph energy (0 for the lowest one) = 0 meV/atom; spin magnetization = 0.6 μB per formula unit
1.0
4.5774 0.0000 0.0000
0.0000 5.2780 0.0000
0.0000 0.0000 4.5774
Ca Ir Rh Li
1 1 1 2
Direct
0.0000 0.5000 0.0000 Ca
0.0000 0.0000 0.0000 Ir
0.5000 0.5000 0.5000 Rh
0.0000 0.0000 0.5000 Li
0.5000 0.0000 0.0000 Li